A) A plane-wave DFT calculation with PBE was carried out for a relaxed K4SbH crystal.

abc: 8.3540 8.3540 6.9334
angles: 97.42 97.42 112.45
Closest atoms and distances in Å follow each position.
Positions (direct):
1 K 0.0364 0.7451 0.9638  2 H 2.81-2.87
2 K 0.2272 0.3939 0.6191  2 H 3.43-3.57, 2 Sb 3.54-3.68, 2 K 3.57-3.67
3 K 0.2549 0.9636 0.5362  2 H 2.81-2.87
4 K 0.3939 0.2272 0.1191  2 H 3.43-3.57, 2 Sb 3.54-3.68, 2 K 3.57-3.67
5 K 0.6061 0.7728 0.8809  2 H 3.43-3.57, 2 Sb 3.54-3.68, 2 K 3.57-3.67
6 K 0.7451 0.0364 0.4638  2 H 2.81-2.87
7 K 0.7728 0.6061 0.3809  2 H 3.43-3.57, 2 Sb 3.54-3.68, 2 K 3.57-3.67
8 K 0.9636 0.2549 0.0362  2 H 2.81-2.87
9 Sb 0.3515 0.6485 0.2500  8 K 3.49-3.68
10 Sb 0.6485 0.3515 0.7500  8 K 3.49-3.68
11 H 0.0020 0.9980 0.7500  4 K 2.81-2.87
12 H 0.9980 0.0020 0.2500  4 K 2.81-2.87

Calculated values
symmetry = No. 15



B) A plane-wave DFT calculation with PBE was carried out for a relaxed K4SbH crystal.

abc: 10.7891 9.2520 8.8902
angles: 72.95 55.07 51.98
Closest atoms and distances in Å follow each position.
Positions (direct):
1 K 0.1100 0.3126 0.3242  1 H 2.70
2 K 0.2468 0.6758 0.6874  1 H 2.70
3 K 0.3126 0.1100 0.7532  1 H 2.70
4 K 0.3242 0.7532 0.1100  1 H 2.70
5 K 0.6758 0.2468 0.8900  1 H 2.70
6 K 0.6874 0.8900 0.2468  1 H 2.70
7 K 0.7532 0.3242 0.3126  1 H 2.70
8 K 0.8900 0.6874 0.6758  1 H 2.70
9 Sb 0.3750 0.3750 0.3750  8 K 3.52-3.57
10 Sb 0.6250 0.6250 0.6250  8 K 3.52-3.57
11 H 0.1250 0.1250 0.1250  4 K 2.70
12 H 0.8750 0.8750 0.8750  4 K 2.70

Calculated values
symmetry = No. 70



Which is most stable, and by how much? B), by 13 meV/atom.